# Pr3AlBr2Cl

A geometry-optimized Pr3AlBr2Cl structure (GGA-PBE, OQMD).

abc: 6.0028 6.0028 6.0793
angles: 90.00 90.00 90.00
Sites, in units of the cell vectors:
Pr 0.0000 0.0000 0.0000
Pr 0.0000 0.5000 0.5000
Pr 0.5000 0.0000 0.5000
Al 0.0000 0.0000 0.5000
Br 0.0000 0.5000 0.0000
Br 0.5000 0.0000 0.0000
Cl 0.5000 0.5000 0.5000

Space group: P4/mmm
Total DFT energy (no corrections): -4.62 eV/atom

# SrSmCu2Sb2

A geometry-optimized SrSmCu2Sb2 structure (GGA-PBE, OQMD).

abc: 4.4458 4.4458 8.5849
angles: 90.00 90.00 120.00
Sites, in units of the cell vectors:
Sr 0.0000 0.0000 0.0000
Sm 0.0000 0.0000 0.4996
Cu 0.3333 0.6667 0.2875
Cu 0.6667 0.3333 0.7180
Sb 0.3333 0.6667 0.7399
Sb 0.6667 0.3333 0.2590

Space group: P3m1
Total DFT energy (no corrections): -4.40 eV/atom

# HfNiMoPb

A geometry-optimized HfNiMoPb structure (GGA-PBE, OQMD).

abc: 4.6515 4.6515 4.6515
angles: 60.00 60.00 60.00
Sites, in units of the cell vectors:
Hf 0.0000 0.0000 0.0000
Ni 0.7500 0.7500 0.7500
Mo 0.2500 0.2500 0.2500
Pb 0.5000 0.5000 0.5000

Space group: F-43m
Energy relative to the lowest polymorph listed for this composition: 0 meV per atom
Total DFT energy (no corrections): -7.27 eV/atom